DFT (PBE) results for Sr2ZnTc after structural relaxation.

Unit cell a=4.432 b=6.221 c=6.221 alpha=43.59 beta=90.00 gamma=90.00
Element x y z (fractional)
Sr  0.000  0.000  0.000
Sr  0.500  0.284  0.284
Zn  0.500  0.589  0.589
Tc  0.000  0.693  0.693

Energy relative to the elements: 343 meV per atom
Calculated volume: 118.2 Å³/f.u.
SG: No. 38